This record from the Alexandria database describes a relaxed structure of K3MgTl4Br8. The functional is PBE.

Cell: 9.1196 9.1196 9.8080 Å, 119.30 119.30 59.45°
Element x y z (fractional)
K 0.0000 0.0000 0.0000
K 0.0000 0.5000 0.0000
K 0.5000 0.0000 0.0000
Mg 0.5000 0.5000 0.0000
Tl 0.0000 0.0000 0.5000
Tl 0.0000 0.5000 0.5000
Tl 0.5000 0.0000 0.5000
Tl 0.5000 0.5000 0.5000
Br 0.2481 0.2481 0.2444
Br 0.2814 0.2814 0.7893
Br 0.2877 0.7063 0.1953
Br 0.2937 0.7123 0.8047
Br 0.7063 0.2877 0.1953
Br 0.7123 0.2937 0.8047
Br 0.7186 0.7186 0.2107
Br 0.7519 0.7519 0.7556

Results
**Energy relative to the elements, uncorrected**: -18.6 eV/f.u.
**Crystal system**: monoclinic

This record from the Alexandria database describes a relaxed structure of RbSrGa2Rh. The functional is PBE.

Cell: 5.0049 5.0049 5.6489 Å, 90.00 90.00 90.00°
Element x y z (fractional)
Rb 0.0000 0.0000 0.0000
Sr 0.5000 0.5000 0.0000
Ga 0.0000 0.5000 0.5000
Ga 0.5000 0.0000 0.5000
Rh 0.5000 0.5000 0.5000

Results
**Calculated formation energy**: -0.221 eV per atom
**Crystal system**: tetragonal

Number 1: total magnetic moment 0.7 μB per formula unit. Number 2: total magnetic moment 0.0 μB per formula unit.